# 1
Material: B3H5
Method: DFT, PBE-GGA
State: optimized geometry

Summary:
Total moment, μB/cell: 0.00
Relative energy among the computed polymorphs, eV per formula unit: 0.00
Volume, Å³/f.u.: 72.4

abc: 6.983 11.226 11.730
angles: 109.08 90.00 90.00
Element x y z (fractional)
B (0.205, 0.214, 0.339)
B (0.874, 0.819, 0.534)
B (0.756, 0.617, 0.630)
B (0.244, 0.383, 0.370)
B (0.511, 0.223, 0.548)
B (0.135, 0.831, 0.155)
B (0.011, 0.277, 0.952)
B (0.787, 0.322, 0.918)
B (0.256, 0.883, 0.870)
B (0.365, 0.331, 0.655)
B (0.876, 0.692, 0.400)
B (0.624, 0.192, 0.900)
B (0.705, 0.286, 0.161)
B (0.295, 0.714, 0.839)
B (0.626, 0.319, 0.034)
B (0.862, 0.367, 0.074)
B (0.376, 0.808, 0.100)
B (0.989, 0.723, 0.048)
B (0.058, 0.322, 0.447)
B (0.638, 0.867, 0.574)
B (0.442, 0.822, 0.947)
B (0.744, 0.117, 0.130)
B (0.865, 0.169, 0.845)
B (0.713, 0.822, 0.418)
B (0.124, 0.308, 0.600)
B (0.635, 0.669, 0.345)
B (0.213, 0.678, 0.082)
B (0.558, 0.178, 0.053)
B (0.362, 0.133, 0.426)
B (0.287, 0.178, 0.582)
B (0.126, 0.181, 0.466)
B (0.942, 0.678, 0.553)
B (0.489, 0.777, 0.452)
B (0.795, 0.786, 0.661)
B (0.374, 0.681, 0.966)
B (0.138, 0.633, 0.926)
H (0.184, 0.422, 0.294)
H (0.356, 0.651, 0.743)
H (0.500, 0.605, 0.944)
H (0.393, 0.165, 0.074)
H (0.734, 0.897, 0.366)
H (0.000, 0.105, 0.444)
H (0.501, 0.165, 0.825)
H (0.759, 0.593, 0.374)
H (0.107, 0.665, 0.574)
H (0.005, 0.150, 0.916)
H (0.500, 0.395, 0.056)
H (0.834, 0.694, 0.072)
H (0.642, 0.071, 0.022)
H (0.358, 0.929, 0.978)
H (0.234, 0.603, 0.134)
H (0.766, 0.397, 0.866)
H (0.266, 0.103, 0.634)
H (0.144, 0.151, 0.243)
H (0.083, 0.530, 0.872)
H (0.858, 0.571, 0.522)
H (0.086, 0.880, 0.257)
H (0.241, 0.407, 0.626)
H (0.856, 0.849, 0.757)
H (0.893, 0.335, 0.426)
H (0.316, 0.922, 0.794)
H (0.353, 0.273, 0.322)
H (0.417, 0.030, 0.372)
H (0.914, 0.120, 0.743)
H (0.499, 0.835, 0.175)
H (0.885, 0.063, 0.077)
H (0.995, 0.850, 0.084)
H (0.166, 0.306, 0.928)
H (0.816, 0.578, 0.706)
H (0.684, 0.078, 0.206)
H (0.495, 0.650, 0.416)
H (0.615, 0.563, 0.577)
H (0.586, 0.620, 0.243)
H (0.147, 0.773, 0.822)
H (0.992, 0.711, 0.931)
H (0.259, 0.907, 0.126)
H (0.999, 0.665, 0.325)
H (0.644, 0.349, 0.257)
H (0.334, 0.806, 0.428)
H (0.385, 0.437, 0.423)
H (0.492, 0.789, 0.569)
H (0.115, 0.937, 0.923)
H (0.000, 0.895, 0.556)
H (0.607, 0.835, 0.926)
H (0.142, 0.429, 0.478)
H (0.647, 0.727, 0.678)
H (0.414, 0.380, 0.757)
H (0.853, 0.227, 0.178)
H (0.008, 0.289, 0.069)
H (0.917, 0.470, 0.128)
H (0.001, 0.335, 0.675)
H (0.583, 0.970, 0.628)
H (0.505, 0.350, 0.584)
H (0.508, 0.211, 0.431)
H (0.741, 0.093, 0.874)
H (0.666, 0.194, 0.572)


# 2
Material: BH
Method: DFT, PBE-GGA
State: optimized geometry

Summary:
Total moment, μB/cell: 0.00
Relative energy among the computed polymorphs, eV per formula unit: 1.27
Volume, Å³/f.u.: 13.2

abc: 1.957 1.957 7.954
angles: 90.00 90.00 120.00
Element x y z (fractional)
B (0.333, 0.667, 0.615)
B (0.667, 0.333, 0.115)
H (0.333, 0.667, 0.467)
H (0.667, 0.333, 0.967)


# 3
Material: B4H5
Method: DFT, PBE-GGA
State: optimized geometry

Summary:
Total moment, μB/cell: 0.00
Uncorrected energy, eV per atom: -4.93
Volume, Å³/f.u.: 84.6

abc: 5.942 13.588 16.935
angles: 90.00 97.87 90.00
Element x y z (fractional)
B (0.805, 0.195, 0.499)
B (0.195, 0.695, 0.001)
B (0.195, 0.805, 0.501)
B (0.805, 0.305, 0.999)
B (0.791, 0.395, 0.552)
B (0.209, 0.895, 0.948)
B (0.209, 0.605, 0.448)
B (0.791, 0.105, 0.052)
B (0.920, 0.315, 0.492)
B (0.080, 0.815, 0.008)
B (0.080, 0.685, 0.508)
B (0.920, 0.185, 0.992)
B (0.632, 0.305, 0.497)
B (0.368, 0.805, 0.003)
B (0.368, 0.695, 0.503)
B (0.632, 0.195, 0.997)
B (0.593, 0.326, 0.600)
B (0.407, 0.826, 0.900)
B (0.407, 0.674, 0.400)
B (0.593, 0.174, 0.100)
B (0.780, 0.003, 0.617)
B (0.220, 0.503, 0.883)
B (0.220, 0.997, 0.383)
B (0.780, 0.497, 0.117)
B (0.579, 0.203, 0.559)
B (0.421, 0.703, 0.941)
B (0.421, 0.797, 0.441)
B (0.579, 0.297, 0.059)
B (0.926, 0.980, 0.715)
B (0.074, 0.480, 0.785)
B (0.074, 0.020, 0.285)
B (0.926, 0.520, 0.215)
B (0.819, 0.139, 0.597)
B (0.181, 0.639, 0.903)
B (0.181, 0.861, 0.403)
B (0.819, 0.361, 0.097)
B (0.700, 0.220, 0.656)
B (0.300, 0.720, 0.844)
B (0.300, 0.780, 0.344)
B (0.700, 0.280, 0.156)
B (0.792, 0.187, 0.755)
B (0.208, 0.687, 0.745)
B (0.208, 0.813, 0.245)
B (0.792, 0.313, 0.255)
B (0.029, 0.070, 0.651)
B (0.971, 0.570, 0.849)
B (0.971, 0.930, 0.349)
B (0.029, 0.430, 0.151)
B (0.983, 0.193, 0.682)
B (0.017, 0.693, 0.818)
B (0.017, 0.807, 0.318)
B (0.983, 0.307, 0.182)
B (0.011, 0.099, 0.754)
B (0.989, 0.599, 0.746)
B (0.989, 0.901, 0.246)
B (0.011, 0.401, 0.254)
B (0.761, 0.045, 0.778)
B (0.239, 0.545, 0.722)
B (0.239, 0.955, 0.222)
B (0.761, 0.455, 0.278)
B (0.635, 0.971, 0.698)
B (0.365, 0.471, 0.802)
B (0.365, 0.029, 0.302)
B (0.635, 0.529, 0.198)
H (0.009, 0.228, 0.524)
H (0.991, 0.728, 0.976)
H (0.991, 0.772, 0.476)
H (0.009, 0.272, 0.024)
H (0.783, 0.369, 0.630)
H (0.217, 0.869, 0.870)
H (0.217, 0.631, 0.370)
H (0.783, 0.131, 0.130)
H (0.008, 0.364, 0.559)
H (0.992, 0.864, 0.941)
H (0.992, 0.636, 0.441)
H (0.008, 0.136, 0.059)
H (0.492, 0.327, 0.442)
H (0.508, 0.827, 0.058)
H (0.508, 0.673, 0.558)
H (0.492, 0.173, 0.942)
H (0.434, 0.371, 0.618)
H (0.566, 0.871, 0.882)
H (0.566, 0.629, 0.382)
H (0.434, 0.129, 0.118)
H (0.791, 0.482, 0.546)
H (0.209, 0.982, 0.954)
H (0.209, 0.518, 0.454)
H (0.791, 0.018, 0.046)
H (0.021, 0.342, 0.440)
H (0.979, 0.842, 0.060)
H (0.979, 0.658, 0.560)
H (0.021, 0.158, 0.940)
H (0.807, 0.145, 0.442)
H (0.193, 0.645, 0.058)
H (0.193, 0.855, 0.558)
H (0.807, 0.355, 0.942)
H (0.584, 0.188, 0.712)
H (0.416, 0.688, 0.788)
H (0.416, 0.812, 0.288)
H (0.584, 0.312, 0.212)
H (0.552, 0.044, 0.740)
H (0.448, 0.544, 0.760)
H (0.448, 0.956, 0.260)
H (0.552, 0.456, 0.240)
H (0.569, 0.019, 0.629)
H (0.431, 0.519, 0.871)
H (0.431, 0.981, 0.371)
H (0.569, 0.481, 0.129)
H (0.768, 0.948, 0.561)
H (0.232, 0.448, 0.939)
H (0.232, 0.052, 0.439)
H (0.768, 0.552, 0.061)
H (0.401, 0.163, 0.540)
H (0.599, 0.663, 0.960)
H (0.599, 0.837, 0.460)
H (0.401, 0.337, 0.040)
H (0.127, 0.254, 0.681)
H (0.873, 0.754, 0.819)
H (0.873, 0.746, 0.319)
H (0.127, 0.246, 0.181)
H (0.162, 0.103, 0.808)
H (0.838, 0.603, 0.692)
H (0.838, 0.897, 0.192)
H (0.162, 0.397, 0.308)
H (0.195, 0.049, 0.622)
H (0.805, 0.549, 0.878)
H (0.805, 0.951, 0.378)
H (0.195, 0.451, 0.122)
H (0.740, 0.024, 0.845)
H (0.260, 0.524, 0.655)
H (0.260, 0.976, 0.155)
H (0.740, 0.476, 0.345)
H (0.513, 0.902, 0.701)
H (0.487, 0.402, 0.799)
H (0.487, 0.098, 0.299)
H (0.513, 0.598, 0.201)
H (0.039, 0.910, 0.734)
H (0.961, 0.410, 0.766)
H (0.961, 0.090, 0.266)
H (0.039, 0.590, 0.234)
H (0.779, 0.242, 0.809)
H (0.221, 0.742, 0.691)
H (0.221, 0.758, 0.191)
H (0.779, 0.258, 0.309)


# 4
Material: BH
Method: DFT, PBE-GGA
State: optimized geometry

Summary:
Total moment, μB/cell: 0.00
Relative energy among the computed polymorphs, eV per formula unit: 0.97
Volume, Å³/f.u.: 13.0

abc: 2.861 1.704 10.660
angles: 90.00 92.30 90.00
Element x y z (fractional)
B (0.244, 0.000, 0.213)
B (0.756, 0.000, 0.787)
B (0.244, 0.500, 0.713)
B (0.756, 0.500, 0.287)
H (0.430, 0.000, 0.030)
H (0.570, 0.000, 0.970)
H (0.430, 0.500, 0.530)
H (0.570, 0.500, 0.470)


# 5
Material: BH
Method: DFT, PBE-GGA
State: optimized geometry

Summary:
Total moment, μB/cell: 0.00
Relative energy among the computed polymorphs, eV per formula unit: 0.00
Volume, Å³/f.u.: 20.9

abc: 7.453 7.453 10.990
angles: 86.54 86.54 124.08
Element x y z (fractional)
B (0.861, 0.214, 0.608)
B (0.786, 0.139, 0.892)
B (0.139, 0.786, 0.392)
B (0.214, 0.861, 0.108)
B (0.876, 0.006, 0.683)
B (0.994, 0.124, 0.817)
B (0.124, 0.994, 0.317)
B (0.006, 0.876, 0.183)
B (0.662, 0.240, 0.679)
B (0.760, 0.338, 0.821)
B (0.338, 0.760, 0.321)
B (0.240, 0.662, 0.179)
B (0.679, 0.905, 0.814)
B (0.095, 0.321, 0.686)
B (0.321, 0.095, 0.186)
B (0.905, 0.679, 0.314)
B (0.557, 0.052, 0.814)
B (0.948, 0.443, 0.686)
B (0.443, 0.948, 0.186)
B (0.052, 0.557, 0.314)
B (0.614, 0.978, 0.674)
B (0.022, 0.386, 0.826)
B (0.386, 0.022, 0.326)
B (0.978, 0.614, 0.174)
H (0.890, 0.922, 0.143)
H (0.078, 0.110, 0.357)
H (0.110, 0.078, 0.857)
H (0.922, 0.890, 0.643)
H (0.558, 0.287, 0.624)
H (0.713, 0.442, 0.876)
H (0.442, 0.713, 0.376)
H (0.287, 0.558, 0.124)
H (0.600, 0.722, 0.857)
H (0.278, 0.400, 0.643)
H (0.400, 0.278, 0.143)
H (0.722, 0.600, 0.357)
H (0.376, 0.967, 0.865)
H (0.033, 0.624, 0.635)
H (0.624, 0.033, 0.135)
H (0.967, 0.376, 0.365)
H (0.482, 0.842, 0.617)
H (0.158, 0.518, 0.883)
H (0.518, 0.158, 0.383)
H (0.842, 0.482, 0.117)
H (0.058, 0.815, 0.483)
H (0.185, 0.942, 0.017)
H (0.942, 0.185, 0.517)
H (0.815, 0.058, 0.983)


# 6
Material: BH
Method: DFT, PBE-GGA
State: optimized geometry

Summary:
Total moment, μB/cell: 0.00
Relative energy among the computed polymorphs, eV per formula unit: 1.52
Volume, Å³/f.u.: 11.4

abc: 6.452 7.240 3.899
angles: 90.00 90.00 90.00
Element x y z (fractional)
B (0.130, 0.000, 0.000)
B (0.870, 0.000, 0.000)
B (0.120, 0.750, 0.250)
B (0.380, 0.750, 0.250)
B (0.130, 0.500, 0.500)
B (0.870, 0.500, 0.500)
B (0.120, 0.250, 0.750)
B (0.380, 0.250, 0.750)
B (0.630, 0.000, 0.500)
B (0.370, 0.000, 0.500)
B (0.620, 0.750, 0.750)
B (0.880, 0.750, 0.750)
B (0.630, 0.500, 0.000)
B (0.370, 0.500, 0.000)
B (0.620, 0.250, 0.250)
B (0.880, 0.250, 0.250)
H (0.000, 0.673, 0.000)
H (0.000, 0.327, 0.000)
H (0.250, 0.077, 0.250)
H (0.250, 0.423, 0.250)
H (0.000, 0.173, 0.500)
H (0.000, 0.827, 0.500)
H (0.250, 0.577, 0.750)
H (0.250, 0.923, 0.750)
H (0.500, 0.673, 0.500)
H (0.500, 0.327, 0.500)
H (0.750, 0.077, 0.750)
H (0.750, 0.423, 0.750)
H (0.500, 0.173, 0.000)
H (0.500, 0.827, 0.000)
H (0.750, 0.577, 0.250)
H (0.750, 0.923, 0.250)


# 7
Material: BH2
Method: DFT, PBE-GGA
State: optimized geometry

Summary:
Total moment, μB/cell: 0.00
Relative energy among the computed polymorphs, eV per formula unit: 0.32
Volume, Å³/f.u.: 23.4

abc: 5.232 3.373 5.722
angles: 90.00 112.26 90.00
Element x y z (fractional)
B (0.931, 0.796, 0.338)
B (0.069, 0.796, 0.662)
B (0.931, 0.296, 0.838)
B (0.069, 0.296, 0.162)
H (0.131, 0.618, 0.298)
H (0.869, 0.618, 0.702)
H (0.131, 0.118, 0.798)
H (0.869, 0.118, 0.202)
H (0.304, 0.184, 0.269)
H (0.696, 0.184, 0.731)
H (0.304, 0.684, 0.769)
H (0.696, 0.684, 0.231)


# 8
Material: BH
Method: DFT, PBE-GGA
State: optimized geometry

Summary:
Total moment, μB/cell: 0.00
Relative energy among the computed polymorphs, eV per formula unit: 0.44
Volume, Å³/f.u.: 14.3

abc: 1.943 2.798 5.243
angles: 91.33 90.00 90.00
Element x y z (fractional)
H (0.250, 0.237, 0.697)
H (0.750, 0.763, 0.303)
B (0.250, 0.247, 0.923)
B (0.750, 0.753, 0.077)


# 9
Material: BH
Method: DFT, PBE-GGA
State: optimized geometry

Summary:
Total moment, μB/cell: 0.00
Relative energy among the computed polymorphs, eV per formula unit: 0.94
Volume, Å³/f.u.: 25.0

abc: 4.805 5.385 7.745
angles: 90.00 90.00 90.00
Element x y z (fractional)
B (0.180, 0.250, 0.499)
B (0.680, 0.250, 0.001)
B (0.820, 0.750, 0.501)
B (0.320, 0.750, 0.999)
B (0.000, 0.000, 0.500)
B (0.500, 0.500, 0.000)
B (0.000, 0.500, 0.500)
B (0.500, 0.000, 0.000)
H (0.322, 0.250, 0.631)
H (0.822, 0.250, 0.869)
H (0.678, 0.750, 0.369)
H (0.178, 0.750, 0.131)
H (0.819, 0.250, 0.133)
H (0.319, 0.250, 0.367)
H (0.181, 0.750, 0.867)
H (0.681, 0.750, 0.633)


# 10
Material: BH2
Method: DFT, PBE-GGA
State: optimized geometry

Summary:
Total moment, μB/cell: 0.00
Relative energy among the computed polymorphs, eV per formula unit: 0.32
Volume, Å³/f.u.: 23.2

abc: 4.824 3.370 5.719
angles: 90.00 91.27 90.00
Element x y z (fractional)
H (0.695, 0.820, 0.331)
H (0.305, 0.820, 0.669)
H (0.695, 0.320, 0.831)
H (0.305, 0.320, 0.169)
H (0.868, 0.385, 0.244)
H (0.132, 0.385, 0.756)
H (0.868, 0.885, 0.744)
H (0.132, 0.885, 0.256)
B (0.931, 0.707, 0.361)
B (0.069, 0.707, 0.639)
B (0.931, 0.207, 0.861)
B (0.069, 0.207, 0.139)